1.
# KPm2Sc

Crystalline KPm2Sc at its relaxed geometry (PBE, Alexandria).

Calculated values
total moment = 0.000 μB per atom
formation energy = 0.231 eV per atom
V = 144.4 Å³ per cell

Unit cell a=3.5720 b=3.5720 c=13.2294 alpha=82.24 beta=82.24 gamma=60.00
Closest atoms and distances in Å follow each position.
Atoms (fractional coordinates):
Pm: 0.9017 0.9017 0.2950  3 Sc 3.38, 6 Pm 3.57
K: 0.0000 0.0000 0.0000  6 K 3.57, 2 Pm 3.86
Pm: 0.0983 0.0983 0.7050  3 Sc 3.38, 6 Pm 3.57
Sc: 0.5000 0.5000 0.5000  6 Pm 3.38, 6 Sc 3.57



2.
# TaAsPt2

Crystalline TaAsPt2 at its relaxed geometry (PBE, Alexandria).

Calculated values
total moment = 0.000 μB per atom
formation energy = -0.299 eV per atom
V = 65.4 Å³ per cell

Unit cell a=5.0961 b=5.0961 c=5.0961 alpha=134.91 beta=134.91 gamma=65.68
Closest atoms and distances in Å follow each position.
Atoms (fractional coordinates):
Ta: 0.2500 0.7500 0.5000  4 As 2.76, 8 Pt 2.90
As: 0.7500 0.2500 0.5000  4 Ta 2.76, 8 Pt 2.90
Pt: 0.0000 0.0000 0.0000  4 Pt 2.76, 4 As 2.90, 4 Ta 2.90
Pt: 0.5000 0.5000 0.0000  4 Pt 2.76, 4 Ta 2.90, 4 As 2.90